1.
# PBEsol Li2Mn3CoO8, relaxed
# - Theoretical density: 4.69 g cm⁻³
# - Calculated volume: 9.25 A^3/atom
# - ΔE to the lowest computed polymorph: 0.0000 eV per atom
data_Li2Mn3CoO8
_space_group_name_H-M_alt 'P 43 3 2'
_space_group_IT_number 212
_space_group_name_Hall 'P 4acd 2ab 3'
_cell_length_a 8.031
_cell_length_b 8.031
_cell_length_c 8.031
_cell_angle_alpha 90.00
_cell_angle_beta 90.00
_cell_angle_gamma 90.00
loop_
_atom_site_label
_atom_site_fract_x
_atom_site_fract_y
_atom_site_fract_z
_atom_site_occupancy
Li1 0.003 0.003 0.003 1
Mn1 0.124 0.126 0.625 1
Co1 0.125 0.875 0.375 1
O1 0.110 0.111 0.388 1
O2 0.114 0.614 0.886 1

2.
# PBEsol Li7Mn4CoO12, relaxed
# - Theoretical density: 4.42 g cm⁻³
# - Calculated volume: 8.13 A^3/atom
# - ΔE to the lowest computed polymorph: 0.0082 eV per atom
data_Li7Mn4CoO12
_space_group_name_H-M_alt 'P 1 2 1'
_space_group_IT_number 3
_space_group_name_Hall 'P 2y'
_cell_length_a 4.888
_cell_length_b 8.473
_cell_length_c 4.985
_cell_angle_alpha 90.00
_cell_angle_beta 109.03
_cell_angle_gamma 90.00
loop_
_atom_site_label
_atom_site_fract_x
_atom_site_fract_y
_atom_site_fract_z
_atom_site_occupancy
Li1 0.000 0.000 0.000 1
Li2 0.000 0.159 0.500 1
Li3 0.000 0.320 0.000 1
Li4 0.000 0.666 0.000 1
Li5 0.500 0.158 0.000 1
Li6 0.500 0.494 0.000 1
Li7 0.500 0.833 0.000 1
Mn1 0.000 0.495 0.500 1
Mn2 0.500 0.322 0.500 1
Mn3 0.500 0.662 0.500 1
Mn4 0.500 0.996 0.500 1
Co1 0.000 0.831 0.500 1
O1 0.241 0.665 0.723 1
O2 0.246 0.343 0.726 1
O3 0.254 0.985 0.724 1
O4 0.255 0.828 0.280 1
O5 0.260 0.496 0.276 1
O6 0.278 0.161 0.268 1

3.
# PBEsol Li2Mn2CoO6, relaxed
# - Theoretical density: 4.74 g cm⁻³
# - Calculated volume: 8.88 A^3/atom
# - ΔE to the lowest computed polymorph: 0.0000 eV per atom
data_Li2Mn2CoO6
_space_group_name_H-M_alt 'P -1'
_space_group_IT_number 2
_space_group_name_Hall '-P 1'
_cell_length_a 5.620
_cell_length_b 5.772
_cell_length_c 6.407
_cell_angle_alpha 105.45
_cell_angle_beta 102.24
_cell_angle_gamma 90.27
loop_
_atom_site_label
_atom_site_fract_x
_atom_site_fract_y
_atom_site_fract_z
_atom_site_occupancy
Li1 0.000 0.000 0.000 1
Li2 0.190 0.648 0.655 1
Li3 0.500 0.000 0.000 1
Mn1 0.167 0.169 0.666 1
Mn2 0.336 0.833 0.335 1
Co1 0.000 0.500 0.000 1
Co2 0.500 0.500 0.000 1
O1 0.076 0.604 0.318 1
O2 0.084 0.061 0.343 1
O3 0.243 0.269 0.976 1
O4 0.255 0.730 0.017 1
O5 0.409 0.936 0.656 1
O6 0.422 0.394 0.686 1

4.
# PBEsol Li4MnCo2O7, relaxed
# - Theoretical density: 4.66 g cm⁻³
# - Calculated volume: 7.96 A^3/atom
# - ΔE to the lowest computed polymorph: 0.0057 eV per atom
data_Li4MnCo2O7
_space_group_name_H-M_alt 'C 1 2 1'
_space_group_IT_number 5
_space_group_name_Hall 'C 2y'
_cell_length_a 4.859
_cell_length_b 19.659
_cell_length_c 4.934
_cell_angle_alpha 90.00
_cell_angle_beta 109.04
_cell_angle_gamma 90.00
loop_
_atom_site_label
_atom_site_fract_x
_atom_site_fract_y
_atom_site_fract_z
_atom_site_occupancy
Li1 0.000 0.000 0.000 1
Li2 0.000 0.066 0.500 1
Li3 0.000 0.217 0.500 1
Li4 0.000 0.360 0.500 1
Li5 0.000 0.501 0.500 1
Li6 0.000 0.643 0.500 1
Li7 0.000 0.788 0.500 1
Li8 0.000 0.932 0.500 1
Mn1 0.000 0.141 0.000 1
Mn2 0.000 0.432 0.000 1
Co1 0.000 0.287 0.000 1
Co2 0.000 0.572 0.000 1
Co3 0.000 0.716 0.000 1
Co4 0.000 0.859 0.000 1
O1 0.222 0.501 0.230 1
O2 0.238 0.217 0.219 1
O3 0.238 0.786 0.213 1
O4 0.240 0.644 0.219 1
O5 0.242 0.358 0.219 1
O6 0.247 0.077 0.228 1
O7 0.248 0.425 0.774 1

5.
# PBEsol Li6Mn3CoO10, relaxed
# - Theoretical density: 4.37 g cm⁻³
# - Calculated volume: 8.08 A^3/atom
data_Li6Mn3CoO10
_space_group_name_H-M_alt 'C 1 2 1'
_space_group_IT_number 5
_space_group_name_Hall 'C 2y'
_cell_length_a 4.874
_cell_length_b 14.088
_cell_length_c 4.976
_cell_angle_alpha 90.00
_cell_angle_beta 108.92
_cell_angle_gamma 90.00
loop_
_atom_site_label
_atom_site_fract_x
_atom_site_fract_y
_atom_site_fract_z
_atom_site_occupancy
Li1 0.000 0.000 0.000 1
Li2 0.000 0.094 0.500 1
Li3 0.000 0.190 0.000 1
Li4 0.000 0.399 0.000 1
Li5 0.000 0.596 0.000 1
Li6 0.000 0.797 0.000 1
Mn1 0.000 0.296 0.500 1
Mn2 0.000 0.500 0.500 1
Mn3 0.000 0.694 0.500 1
Co1 0.000 0.897 0.500 1
O1 0.225 0.597 0.734 1
O2 0.242 0.397 0.720 1
O3 0.242 0.796 0.719 1
O4 0.247 0.490 0.277 1
O5 0.250 0.204 0.725 1

6.
# PBEsol Li4MnCo2O7, relaxed
# - Theoretical density: 4.66 g cm⁻³
# - Calculated volume: 7.96 A^3/atom
# - ΔE to the lowest computed polymorph: 0.0000 eV per atom
data_Li4MnCo2O7
_space_group_name_H-M_alt 'P -1'
_space_group_IT_number 2
_space_group_name_Hall '-P 1'
_cell_length_a 4.880
_cell_length_b 5.665
_cell_length_c 8.460
_cell_angle_alpha 90.81
_cell_angle_beta 95.63
_cell_angle_gamma 106.55
loop_
_atom_site_label
_atom_site_fract_x
_atom_site_fract_y
_atom_site_fract_z
_atom_site_occupancy
Li1 0.000 0.000 0.000 1
Li2 0.000 0.500 0.000 1
Li3 0.133 0.287 0.280 1
Li4 0.285 0.574 0.571 1
Li5 0.420 0.853 0.861 1
Mn1 0.429 0.358 0.857 1
Co1 0.142 0.784 0.285 1
Co2 0.286 0.072 0.572 1
O1 0.007 0.778 0.490 1
O2 0.144 0.057 0.777 1
O3 0.147 0.513 0.783 1
O4 0.299 0.813 0.088 1
O5 0.311 0.336 0.065 1
O6 0.420 0.079 0.369 1
O7 0.430 0.627 0.349 1

7.
# PBEsol Li4MnCo2O7, relaxed
# - Theoretical density: 4.63 g cm⁻³
# - Calculated volume: 8.01 A^3/atom
# - ΔE to the lowest computed polymorph: 0.0117 eV per atom
data_Li4MnCo2O7
_space_group_name_H-M_alt 'C 1 2/m 1'
_space_group_IT_number 12
_space_group_name_Hall '-C 2y'
_cell_length_a 32.364
_cell_length_b 2.823
_cell_length_c 4.912
_cell_angle_alpha 90.00
_cell_angle_beta 92.24
_cell_angle_gamma 90.00
loop_
_atom_site_label
_atom_site_fract_x
_atom_site_fract_y
_atom_site_fract_z
_atom_site_occupancy
Li1 0.000 0.000 0.000 1
Li2 0.000 0.500 0.500 1
Li3 0.070 0.000 0.356 1
Li4 0.143 0.500 0.228 1
Li5 0.214 0.000 0.074 1
Mn1 0.070 0.500 0.870 1
Co1 0.144 0.000 0.722 1
Co2 0.215 0.500 0.575 1
O1 0.040 0.500 0.162 1
O2 0.041 0.000 0.697 1
O3 0.107 0.000 0.015 1
O4 0.111 0.500 0.573 1
O5 0.178 0.500 0.869 1
O6 0.181 0.000 0.432 1
O7 0.249 0.000 0.719 1

8.
# PBEsol Li7Mn4CoO12, relaxed
# - Theoretical density: 4.46 g cm⁻³
# - Calculated volume: 8.06 A^3/atom
# - ΔE to the lowest computed polymorph: 0.0077 eV per atom
data_Li7Mn4CoO12
_space_group_name_H-M_alt 'P -1'
_space_group_IT_number 2
_space_group_name_Hall '-P 1'
_cell_length_a 4.980
_cell_length_b 5.607
_cell_length_c 7.469
_cell_angle_alpha 100.75
_cell_angle_beta 96.43
_cell_angle_gamma 106.46
loop_
_atom_site_label
_atom_site_fract_x
_atom_site_fract_y
_atom_site_fract_z
_atom_site_occupancy
Li1 0.000 0.000 0.000 1
Li2 0.489 0.408 0.156 1
Li3 0.493 0.917 0.155 1
Li4 0.499 0.252 0.499 1
Mn1 0.004 0.165 0.672 1
Mn2 0.006 0.672 0.674 1
Co1 0.000 0.500 0.000 1
O1 0.220 0.618 0.245 1
O2 0.221 0.450 0.576 1
O3 0.226 0.295 0.903 1
O4 0.226 0.950 0.581 1
O5 0.229 0.773 0.906 1
O6 0.230 0.123 0.261 1

9.
# PBEsol Li2MnCo3O8, relaxed
# - Theoretical density: 4.92 g cm⁻³
# - Calculated volume: 9.00 A^3/atom
# - ΔE to the lowest computed polymorph: 0.0005 eV per atom
data_Li2MnCo3O8
_space_group_name_H-M_alt 'R -3 m'
_space_group_IT_number 166
_space_group_name_Hall '-R 3 2"'
_cell_length_a 5.6566
_cell_length_b 5.6566
_cell_length_c 13.6483
_cell_angle_alpha 90.00
_cell_angle_beta 90.00
_cell_angle_gamma 120.00
loop_
_atom_site_label
_atom_site_fract_x
_atom_site_fract_y
_atom_site_fract_z
_atom_site_occupancy
Li1 0.0000 0.0000 0.1242 1
Mn1 0.0000 0.0000 0.5000 1
Co1 0.0000 0.5000 0.0000 1
O1 0.0000 0.0000 0.2650 1
O2 0.0346 0.5173 0.2551 1

10.
# PBEsol Li5Mn3Co2P6O24, relaxed
# - Theoretical density: 3.41 g cm⁻³
# - Calculated volume: 10.79 A^3/atom
data_Li5Mn3Co2P6O24
_space_group_name_H-M_alt 'P 1'
_space_group_IT_number 1
_space_group_name_Hall 'P 1'
_cell_length_a 8.077
_cell_length_b 8.118
_cell_length_c 8.639
_cell_angle_alpha 116.01
_cell_angle_beta 95.07
_cell_angle_gamma 115.56
loop_
_atom_site_label
_atom_site_fract_x
_atom_site_fract_y
_atom_site_fract_z
_atom_site_occupancy
Li1 0.000 0.000 0.000 1
Li2 0.056 0.797 0.315 1
Li3 0.161 0.299 0.355 1
Li4 0.641 0.863 0.068 1
Li5 0.926 0.194 0.826 1
Mn1 0.200 0.639 0.865 1
Mn2 0.478 0.015 0.544 1
Mn3 0.694 0.615 0.369 1
Co1 0.342 0.330 0.726 1
Co2 0.823 0.304 0.175 1
P1 0.090 0.864 0.664 1
P2 0.263 0.534 0.167 1
P3 0.421 0.117 0.242 1
P4 0.569 0.792 0.731 1
P5 0.791 0.538 0.946 1
P6 0.879 0.099 0.455 1
O1 0.019 0.003 0.779 1
O2 0.086 0.342 0.158 1
O3 0.096 0.278 0.578 1
O4 0.179 0.799 0.772 1
O5 0.229 0.105 0.198 1
O6 0.234 0.473 0.960 1
O7 0.242 0.007 0.604 1
O8 0.261 0.738 0.283 1
O9 0.422 0.918 0.105 1
O10 0.429 0.644 0.795 1
O11 0.442 0.826 0.620 1
O12 0.457 0.558 0.239 1
O13 0.478 0.175 0.445 1
O14 0.582 0.350 0.810 1
O15 0.595 0.307 0.242 1
O16 0.641 0.660 0.605 1
O17 0.724 0.008 0.908 1
O18 0.746 0.100 0.572 1
O19 0.814 0.754 0.006 1
O20 0.833 0.514 0.112 1
O21 0.836 0.135 0.299 1
O22 0.858 0.876 0.372 1
O23 0.935 0.654 0.477 1
O24 0.940 0.507 0.851 1

11.
# PBEsol Li5Mn2Co2P4O16, relaxed
# - Theoretical density: 3.57 g cm⁻³
# - Calculated volume: 10.31 A^3/atom
data_Li5Mn2Co2P4O16
_space_group_name_H-M_alt 'P 1'
_space_group_IT_number 1
_space_group_name_Hall 'P 1'
_cell_length_a 4.768
_cell_length_b 6.120
_cell_length_c 10.265
_cell_angle_alpha 87.33
_cell_angle_beta 88.59
_cell_angle_gamma 89.03
loop_
_atom_site_label
_atom_site_fract_x
_atom_site_fract_y
_atom_site_fract_z
_atom_site_occupancy
Li1 0.000 0.000 0.000 1
Li2 0.001 0.500 0.000 1
Li3 0.391 0.525 0.371 1
Li4 0.500 0.001 0.500 1
Li5 0.609 0.477 0.629 1
Mn1 0.051 0.217 0.720 1
Mn2 0.949 0.784 0.281 1
Co1 0.463 0.230 0.207 1
Co2 0.538 0.771 0.794 1
P1 0.100 0.739 0.594 1
P2 0.417 0.745 0.097 1
P3 0.584 0.256 0.903 1
P4 0.900 0.262 0.406 1
O1 0.210 0.765 0.450 1
O2 0.216 0.520 0.654 1
O3 0.221 0.245 0.396 1
O4 0.245 0.928 0.666 1
O5 0.261 0.244 0.905 1
O6 0.273 0.947 0.162 1
O7 0.293 0.735 0.959 1
O8 0.301 0.545 0.182 1
O9 0.699 0.455 0.819 1
O10 0.708 0.266 0.041 1
O11 0.727 0.054 0.839 1
O12 0.739 0.757 0.095 1
O13 0.755 0.074 0.334 1
O14 0.779 0.756 0.604 1
O15 0.784 0.482 0.347 1
O16 0.790 0.236 0.550 1

12.
# PBEsol Li2MnCoP2O8, relaxed
# - Theoretical density: 3.69 g cm⁻³
# - Calculated volume: 10.22 A^3/atom
data_Li2MnCoP2O8
_space_group_name_H-M_alt 'P 1 21/m 1'
_space_group_IT_number 11
_space_group_name_Hall '-P 2yb'
_cell_length_a 4.693
_cell_length_b 5.970
_cell_length_c 10.213
_cell_angle_alpha 90.00
_cell_angle_beta 90.43
_cell_angle_gamma 90.00
loop_
_atom_site_label
_atom_site_fract_x
_atom_site_fract_y
_atom_site_fract_z
_atom_site_occupancy
Li1 0.000 0.000 0.000 1
Li2 0.500 0.000 0.500 1
Mn1 0.020 0.250 0.722 1
Co1 0.477 0.250 0.219 1
P1 0.085 0.750 0.597 1
P2 0.424 0.750 0.090 1
O1 0.205 0.750 0.455 1
O2 0.225 0.545 0.667 1
O3 0.241 0.250 0.400 1
O4 0.250 0.250 0.907 1
O5 0.291 0.543 0.163 1
O6 0.293 0.750 0.950 1

These records have raw formation energy values of -1742.8; -1852.8; -1677.9; -1711.3; -1863.2; -1717.0; -1705.3; -1853.3; -1496.1; -1960.5; -1934.5; -1956.3 meV per atom, in the order they appear.